The following is a DFT calculation (GGA+U) of crystalline MgFe4CoO8 at its relaxed geometry.

a = 5.902 Å, b = 5.902 Å, c = 5.902 Å
α = 59.79°, β = 59.79°, γ = 59.79°
Site moments in Bohr magnetons follow the coordinates.
Sites, in units of the cell vectors:
O1 0.753 0.753 0.222  0.08
O2 0.222 0.753 0.753  0.08
O3 0.753 0.222 0.753  0.08
O4 0.788 0.244 0.244  -0.02
O5 0.244 0.788 0.244  -0.02
O6 0.244 0.244 0.788  -0.02
O7 0.241 0.241 0.241  -0.06
O8 0.756 0.756 0.756  0.02
Fe1 0.496 0.001 0.001  1.24
Fe2 0.620 0.620 0.620  4.27
Fe3 0.001 0.001 0.496  1.24
Fe4 0.001 0.496 0.001  1.24
Co1 0.380 0.380 0.380  2.64
Mg1 0.001 0.001 0.001  0.01

- spin magnetization (μB/cell) = 11.00
- volume (Å³/atom) = 10.33
- uncorrected energy (eV per atom) = -6.21